Entry 1:
The following is a PBE calculation of a relaxed structure of NaPCl3, from Alexandria.

raw formation energy = -0.663 eV/atom
magnetic moment = 0.0 μB per cell
excess energy over the best structure of this formula in the dataset = 0.0000 eV per atom
calculated density = 2.2 g cm⁻³

```
NaPCl3
1.0
-4.790 1.166 0.594
-1.306 -4.133 -2.423
-0.075 -2.493 4.294
P Na Cl
1 1 3
Direct
0.000 0.000 0.000
0.500 0.500 0.500
0.000 0.500 0.000
0.000 0.000 0.500
0.500 0.000 0.000
```

---

Entry 2:
The following is a PBE calculation of a relaxed structure of Na2PCl, from Alexandria.

raw formation energy = -0.457 eV/atom
magnetic moment = 4.0 μB per cell
excess energy over the best structure of this formula in the dataset = 0.0000 eV per atom
calculated density = 1.7 g cm⁻³

```
Na2PCl
1.0
7.445 0.000 0.000
0.000 7.445 0.000
3.723 3.723 4.014
P Na Cl
2 4 2
Direct
0.500 0.500 0.000
0.250 0.750 0.500
0.652 0.125 0.250
0.098 0.625 0.250
0.375 0.348 0.750
0.875 0.902 0.750
0.000 0.000 0.000
0.750 0.250 0.500
```

---

Entry 3:
The following is a PBE calculation of a relaxed structure of NaP2Cl, from Alexandria.

raw formation energy = 0.763 eV/atom
magnetic moment = 0.0 μB per cell
excess energy over the best structure of this formula in the dataset = 1.2462 eV per atom
calculated density = 2.6 g cm⁻³

```
NaP2Cl
1.0
2.821 -1.576 3.550
-1.844 -2.707 3.509
1.128 -4.657 0.282
P Na Cl
2 1 1
Direct
0.250 0.250 0.250
0.750 0.750 0.750
0.000 0.000 0.000
0.500 0.500 0.500
```

---

Entry 4:
The following is a PBE calculation of a relaxed structure of NaPCl3, from Alexandria.

raw formation energy = 0.159 eV/atom
magnetic moment = 1.0 μB per cell
excess energy over the best structure of this formula in the dataset = 0.8217 eV per atom
calculated density = 2.1 g cm⁻³

```
NaPCl3
1.0
-4.410 -1.233 -2.120
-2.102 -0.347 4.574
-1.263 4.881 -0.210
P Na Cl
1 1 3
Direct
0.500 0.500 0.500
0.000 0.000 0.000
0.000 0.500 0.000
0.000 0.000 0.500
0.500 0.000 0.000
```

---

Entry 5:
The following is a PBE calculation of a relaxed structure of Na2PCl, from Alexandria.

raw formation energy = -0.383 eV/atom
magnetic moment = 2.0 μB per cell
excess energy over the best structure of this formula in the dataset = 0.0740 eV per atom
calculated density = 2.0 g cm⁻³

```
Na2PCl
1.0
0.000 3.594 3.594
3.594 0.000 3.594
3.594 3.594 0.000
P Na Cl
1 2 1
Direct
0.000 0.000 0.000
0.250 0.250 0.250
0.750 0.750 0.750
0.500 0.500 0.500
```

---

Entry 6:
The following is a PBE calculation of a relaxed structure of NaP3Cl, from Alexandria.

raw formation energy = 1.039 eV/atom
magnetic moment = 0.0 μB per cell
excess energy over the best structure of this formula in the dataset = 0.0000 eV per atom
calculated density = 2.3 g cm⁻³

```
NaP3Cl
1.0
4.762 0.000 0.000
0.000 4.762 0.000
0.000 0.000 4.762
P Na Cl
3 1 1
Direct
0.000 0.500 0.000
0.000 0.000 0.500
0.500 0.000 0.000
0.500 0.500 0.500
0.000 0.000 0.000
```

---

Entry 7:
The following is a PBE calculation of a relaxed structure of NaPCl6, from Alexandria.

raw formation energy = -0.811 eV/atom
magnetic moment = 0.0 μB per cell
calculated density = 1.8 g cm⁻³

```
NaPCl6
1.0
-1.860 -6.485 -0.362
-1.452 -4.562 6.304
-6.145 -0.720 3.034
Na P Cl
1 1 6
Direct
0.000 0.000 0.000
0.500 0.500 0.000
0.775 0.501 0.727
0.775 0.228 0.273
0.225 0.772 0.727
0.225 0.499 0.273
0.509 0.770 0.000
0.491 0.230 0.000
```

---

Entry 8:
The following is a PBE calculation of a relaxed structure of Na3PCl, from Alexandria.

raw formation energy = -0.537 eV/atom
magnetic moment = 1.0 μB per cell
excess energy over the best structure of this formula in the dataset = 0.0000 eV per atom
calculated density = 1.7 g cm⁻³

```
Na3PCl
1.0
5.115 0.000 0.000
0.000 5.115 0.000
0.000 0.000 5.115
P Na Cl
1 3 1
Direct
0.500 0.500 0.500
0.000 0.500 0.000
0.000 0.000 0.500
0.500 0.000 0.000
0.000 0.000 0.000
```